Compound: La8Cd2Pt
Source: Alexandria via LeMat-Bulk
Functional: PBE-GGA
Structure: optimized geometry

## Properties
VASP energy: -4.6074 eV per atom
density of states at the Fermi level: 13.77 states/eV/f.u.
magnetic moment: 0.00 μB per atom
formation energy: -29.7 kJ per mole of atoms
ρ: 7.2 g cm⁻³

a b c (Å): 18.832 5.529 7.095
angles (deg): 90.00 107.36 90.00
Space group C2/m (No. 12)
Asymmetric unit:
La 0.013 0.000 0.284 (multiplicity 4)
La 0.091 0.500 0.927 (multiplicity 4)
La 0.155 0.500 0.452 (multiplicity 4)
La 0.207 0.000 0.773 (multiplicity 4)
Cd 0.178 0.000 0.205 (multiplicity 4)
Pt 0.000 0.500 0.500 (multiplicity 2)